[1]
A plane-wave DFT calculation with PBE-GGA was carried out for a geometry-optimized Ca2Cr structure.

Output
The calculation puts the total magnetization at 13.31 Bohr magnetons per cell. The calculation puts the uncorrected energy at -4.072 eV/atom.

Unit cell a=8.8694 b=8.8694 c=4.2362 alpha=90.00 beta=90.00 gamma=120.00
Space group P-62m (No. 189)
Inequivalent atoms, fractional coordinates:
Ca  0.0000  0.2602  0.0000 [3 per cell]
Ca  0.0000  0.6014  0.5000 [3 per cell]
Cr  0.0000  0.0000  0.5000 [1 per cell]
Cr  0.3333  0.6667  0.0000 [2 per cell]



[2]
A plane-wave DFT calculation with PBE-GGA was carried out for a geometry-optimized CaCr structure.

Output
The calculation puts the total magnetization at 4.84 Bohr magnetons per cell. The value obtained for the energy above the most stable polymorph in this dataset is 312.7 meV per atom.

Unit cell a=11.1082 b=11.1082 c=3.1133 alpha=90.00 beta=90.00 gamma=90.00
Space group I4/m (No. 87)
Inequivalent atoms, fractional coordinates:
Ca  0.1181  0.8139  0.0000 [8 per cell]
Cr  0.0604  0.4028  0.0000 [8 per cell]



[3]
A plane-wave DFT calculation with PBE-GGA was carried out for a geometry-optimized CaCr structure.

Output
The calculation puts the total magnetization at 0.00 Bohr magnetons per cell. The value obtained for the energy above the most stable polymorph in this dataset is 331.0 meV per atom.

Unit cell a=9.0872 b=3.2773 c=6.3043 alpha=90.00 beta=90.00 gamma=90.00
Space group Pnma (No. 62)
Inequivalent atoms, fractional coordinates:
Ca  0.1847  0.2500  0.0755 [4 per cell]
Cr  0.0151  0.2500  0.6063 [4 per cell]



[4]
A plane-wave DFT calculation with PBE-GGA was carried out for a geometry-optimized CaCr structure.

Output
The calculation puts the total magnetization at 0.00 Bohr magnetons per cell. The value obtained for the energy above the most stable polymorph in this dataset is 244.4 meV per atom.

Unit cell a=3.2230 b=5.4183 c=10.0347 alpha=90.00 beta=90.00 gamma=90.00
Space group Imma (No. 74)
Inequivalent atoms, fractional coordinates:
Ca  0.0000  0.2500  0.0986 [4 per cell]
Cr  0.0000  0.2500  0.6808 [4 per cell]